[1]
Density functional theory data (PBE) for an optimized crystal structure of TbZn4Au12.

Results
Energy of formation ... -0.002 eV per atom
Space-group type ... No. 204
Calculated density ... 13046 kg/m3
Uncorrected energy ... -2.887 eV per atom

Structure (POSCAR):
```
TbZn4Au12
1.0
-4.4580 4.4580 4.4580
4.4580 -4.4580 4.4580
4.4580 4.4580 -4.4580
Tb Zn Au
1 4 12
Cartesian
0.0000 0.0000 0.0000 Tb
2.2290 2.2290 -2.2290 Zn
2.2290 -2.2290 2.2290 Zn
-2.2290 2.2290 2.2290 Zn
2.2290 2.2290 2.2290 Zn
3.0505 0.0000 1.3718 Au
5.8655 0.0000 1.3718 Au
4.4580 3.0862 -1.4075 Au
1.3718 3.0505 0.0000 Au
3.0862 -1.4075 4.4580 Au
0.0000 1.3718 3.0505 Au
4.4580 3.0862 1.4075 Au
1.3718 5.8655 0.0000 Au
3.0862 1.4075 4.4580 Au
0.0000 1.3718 5.8655 Au
-1.4075 4.4580 3.0862 Au
1.4075 4.4580 3.0862 Au
```

---

[2]
Density functional theory data (PBE) for an optimized crystal structure of PmMnGe.

Results
Energy of formation ... -0.383 eV per atom
Space-group type ... No. 187
Energy above the lowest structure with this stoichiometry ... 0 meV/atom
Calculated density ... 6911 kg/m3
Uncorrected energy ... -6.562 eV per atom

Structure (POSCAR):
```
PmMnGe
1.0
4.3625 0.0000 0.0000
-2.1812 3.7780 0.0000
0.0000 0.0000 3.9738
Pm Mn Ge
1 1 1
Cartesian
0.0000 0.0000 0.0000 Pm
0.0000 2.5187 1.9869 Mn
2.1812 1.2593 1.9869 Ge
```

---

[3]
Density functional theory data (PBE) for an optimized crystal structure of Ti4Al3Cu.

Results
Energy of formation ... -0.298 eV per atom
Space-group type ... No. 51
Calculated density ... 4410 kg/m3
Uncorrected energy ... -6.161 eV per atom

Structure (POSCAR):
```
Ti4Al3Cu
1.0
9.1858 0.0000 0.0000
0.0000 5.6733 0.0000
0.0000 0.0000 4.8546
Ti Al Cu
8 6 2
Cartesian
0.0000 1.4154 0.0000 Ti
0.0000 4.2579 0.0000 Ti
2.2965 1.3984 1.6065 Ti
2.2965 4.2749 1.6065 Ti
4.5929 1.4154 0.0000 Ti
4.5929 4.2579 0.0000 Ti
6.8894 1.3984 3.2481 Ti
6.8894 4.2749 3.2481 Ti
0.0000 2.8366 2.4273 Al
2.2965 0.0000 4.0149 Al
2.2965 2.8366 4.0445 Al
4.5929 2.8366 2.4273 Al
6.8894 0.0000 0.8397 Al
6.8894 2.8366 0.8101 Al
0.0000 0.0000 2.4273 Cu
4.5929 0.0000 2.4273 Cu
```

---

[4]
Density functional theory data (PBE) for an optimized crystal structure of AcSmGeCl.

Results
Space-group type ... No. 38
Energy above the lowest structure with this stoichiometry ... 117 meV/atom
Calculated density ... 5792 kg/m3
Uncorrected energy ... -4.756 eV per atom
Formation energy without anion corrections ... -3.73 eV per formula unit

Structure (POSCAR):
```
AcSmGeCl
1.0
6.1441 0.0000 0.0000
0.0000 2.5389 4.4613
0.0000 -2.5389 4.4613
Ac Sm Ge Cl
1 1 1 1
Cartesian
0.0000 0.0000 0.0000 Ac
3.0720 0.0000 5.9766 Sm
3.0720 0.0000 0.0094 Ge
0.0000 0.0000 5.9722 Cl
```

---

Q: What is the uncorrected energy in the first record?
A: -2.887 eV per atom

---

Q: Which value of uncorrected energy does entry 4 give?
A: -4.756 eV per atom

---

Q: Look up the uncorrected energy of the second one.
A: -6.562 eV per atom